Below is an optimized crystal structure of Li2TcSbPb, with properties calculated at the PBE level.

```
5
Lattice="-4.739 0.202 1.373 -1.131 -3.556 -3.380 0.835 -3.490 3.393" Properties=species:S:1:pos:R:3 pbc="T T T"
Sb -0.565 -1.778 -1.690
Li -2.370 0.101 0.687
Li 0.417 -1.745 1.696
Pb -2.518 -3.422 0.693
Tc 0.000 0.000 0.000
```

Computed properties:
* electronic total energy: -3.95 eV per atom
* total magnetic moment: 0.6 μB/f.u.
* formation energy from raw total energies: 0.45 eV per atom